Here is crystalline CsUAgTe3 at its relaxed geometry from the Open Quantum Materials Database. Energies are from PBE.

The structure belongs to space group Cmcm (No. 63); the cell edges are 4.5002, 16.8804 and 11.5736 Å and the angles 90.00°, 90.00° and 90.00°. The inequivalent atoms are Cs at (0.0000, 0.2491, 0.2500), U at (0.0000, 0.5000, 0.0000), Ag at (0.0000, 0.0386, 0.7500), Te at (0.0000, 0.1222, 0.5420) and Te at (0.0000, 0.4369, 0.7500).

The calculated total energy is -115.4 eV/cell. As for the total magnetic moment: 2.0 μB/f.u.